Computed, not measured: a geometry-optimized CaMg4Ag structure at the PBE-GGA level of DFT.

Cell: 8.859 4.355 7.708 Å, 90.00 90.00 90.00°
Positions (direct):
Ca (0.250, 0.000, 0.105)
Ca (0.750, 0.000, 0.895)
Mg (0.000, 0.000, 0.500)
Mg (0.056, 0.500, 0.801)
Mg (0.250, 0.500, 0.449)
Mg (0.444, 0.500, 0.801)
Mg (0.500, 0.000, 0.500)
Mg (0.556, 0.500, 0.199)
Mg (0.750, 0.500, 0.551)
Mg (0.944, 0.500, 0.199)
Ag (0.250, 0.000, 0.705)
Ag (0.750, 0.000, 0.295)

Summary:
relative energy among the computed polymorphs: 0.0 kJ/mol of formula units
E_form: -0.141 eV per atom
SG: Pmma, No. 51

Computed, not measured: a geometry-optimized ZnAsP2 structure at the PBE-GGA level of DFT.

Cell: 3.236 4.356 4.567 Å, 90.00 90.00 90.00°
Positions (direct):
Zn (0.000, 0.000, 0.000)
As (0.500, 0.500, 0.000)
P (0.000, 0.500, 0.500)
P (0.500, 0.000, 0.500)

Summary:
relative energy among the computed polymorphs: 185.3 kJ/mol of formula units
E_form: 0.524 eV per atom
SG: Pmmm, No. 47

Computed, not measured: a geometry-optimized NaHfAgSe3 structure at the PBE-GGA level of DFT.

Cell: 7.837 3.910 9.757 Å, 90.00 106.00 90.00°
Positions (direct):
Na (0.247, 0.250, 0.204)
Na (0.753, 0.750, 0.796)
Hf (0.186, 0.750, 0.666)
Hf (0.814, 0.250, 0.334)
Ag (0.426, 0.250, 0.896)
Ag (0.574, 0.750, 0.104)
Se (0.067, 0.750, 0.368)
Se (0.210, 0.750, 0.943)
Se (0.408, 0.250, 0.628)
Se (0.592, 0.750, 0.372)
Se (0.790, 0.250, 0.057)
Se (0.933, 0.250, 0.632)

Summary:
ΔE_f (raw): -993.9 meV per atom
SG: P2_1/m, No. 11

Computed, not measured: a geometry-optimized Na3TiV2Se6 structure at the PBE-GGA level of DFT.

Cell: 6.496 6.496 7.285 Å, 98.59 98.59 119.33°
Positions (direct):
Na (0.000, 0.000, 0.000)
Na (0.329, 0.671, 0.000)
Na (0.671, 0.329, 0.000)
Ti (0.500, 0.500, 0.500)
V (0.156, 0.844, 0.500)
V (0.844, 0.156, 0.500)
Se (0.099, 0.436, 0.296)
Se (0.242, 0.242, 0.716)
Se (0.436, 0.099, 0.296)
Se (0.564, 0.901, 0.704)
Se (0.758, 0.758, 0.284)
Se (0.901, 0.564, 0.704)

Summary:
ΔE_f (raw): -975.4 meV per atom
SG: C2/m, No. 12

Computed, not measured: a geometry-optimized Ba2La4O structure at the PBE-GGA level of DFT.

Cell: 10.490 10.490 10.490 Å, 150.79 150.79 41.78°
Positions (direct):
Ba (0.169, 0.169, 0.000)
Ba (0.831, 0.831, 0.000)
La (0.000, 0.500, 0.500)
La (0.379, 0.379, 0.000)
La (0.500, 0.000, 0.500)
La (0.621, 0.621, 0.000)
O (0.500, 0.500, 0.000)

Summary:
ΔE_f (raw): -618.7 meV per atom
SG: I4/mmm, No. 139

Computed, not measured: a geometry-optimized SrGa2Cu2 structure at the PBE-GGA level of DFT.

Cell: 5.830 5.830 5.830 Å, 134.89 134.89 65.69°
Positions (direct):
Sr (0.000, 0.000, 0.000)
Ga (0.364, 0.364, 0.000)
Ga (0.636, 0.636, 0.000)
Cu (0.250, 0.750, 0.500)
Cu (0.750, 0.250, 0.500)

Summary:
E_form: -0.293 eV per atom
SG: I4/mmm, No. 139

Computed, not measured: a geometry-optimized TlSn2Bi structure at the PBE-GGA level of DFT.

Cell: 4.189 6.923 8.800 Å, 90.00 90.00 90.00°
Positions (direct):
Tl (0.250, 0.250, 0.103)
Tl (0.750, 0.750, 0.897)
Sn (0.250, 0.522, 0.629)
Sn (0.250, 0.978, 0.629)
Sn (0.750, 0.022, 0.371)
Sn (0.750, 0.478, 0.371)
Bi (0.250, 0.750, 0.201)
Bi (0.750, 0.250, 0.799)

Summary:
relative energy among the computed polymorphs: 3.9 kJ/mol of formula units
E_form: 0.066 eV per atom
SG: Pmmn, No. 59

Computed, not measured: a geometry-optimized KRe3 structure at the PBE-GGA level of DFT.

Cell: 4.541 4.541 4.541 Å, 60.00 60.00 60.00°
Positions (direct):
K (0.000, 0.000, 0.000)
Re (0.250, 0.250, 0.250)
Re (0.500, 0.500, 0.500)
Re (0.750, 0.750, 0.750)

Summary:
relative energy among the computed polymorphs: 326.6 kJ/mol of formula units
E_form: 1.574 eV per atom
SG: Fm-3m, No. 225